1.
# Si2C (GGA-PBEsol, relaxed)
# M_tot: 0.00 μB per formula unit
# energy relative to the elements, uncorrected: 0.48 eV per atom
# distance to the lowest polymorph of the same formula: 42.6 kJ/mol of formula units
data_Si2C
_chemical_formula_sum 'Si4 C2'
_cell_length_a 2.895
_cell_length_b 4.710
_cell_length_c 5.010
_cell_angle_alpha 90.00
_cell_angle_beta 106.79
_cell_angle_gamma 90.00
_space_group_name_H-M_alt 'P 1'
_space_group_IT_number 1
loop_
_space_group_symop_operation_xyz
'x,y,z'
loop_
_atom_site_label
_atom_site_fract_x
_atom_site_fract_y
_atom_site_fract_z
Si1 0.533 0.250 0.066
Si2 0.467 0.750 0.934
Si3 0.189 0.750 0.377
Si4 0.811 0.250 0.623
C1 0.823 0.750 0.647
C2 0.177 0.250 0.353



2.
# Si2C (GGA-PBEsol, relaxed)
# M_tot: 0.00 μB per formula unit
# energy relative to the elements, uncorrected: 0.62 eV per atom
# distance to the lowest polymorph of the same formula: 81.6 kJ/mol of formula units
data_Si2C
_chemical_formula_sum 'Si4 C2'
_cell_length_a 2.874
_cell_length_b 2.874
_cell_length_c 9.528
_cell_angle_alpha 90.00
_cell_angle_beta 90.00
_cell_angle_gamma 120.00
_space_group_name_H-M_alt 'P 1'
_space_group_IT_number 1
loop_
_space_group_symop_operation_xyz
'x,y,z'
loop_
_atom_site_label
_atom_site_fract_x
_atom_site_fract_y
_atom_site_fract_z
Si1 0.333 0.667 0.377
Si2 0.667 0.333 0.623
Si3 0.333 0.667 0.123
Si4 0.667 0.333 0.877
C1 0.000 0.000 0.000
C2 0.000 0.000 0.500



3.
# SiC (GGA-PBEsol, relaxed)
# M_tot: 0.00 μB per formula unit
# energy relative to the elements, uncorrected: -0.26 eV per atom
# distance to the lowest polymorph of the same formula: 0.6 kJ/mol of formula units
data_SiC
_chemical_formula_sum 'Si2 C2'
_cell_length_a 3.078
_cell_length_b 3.078
_cell_length_c 5.051
_cell_angle_alpha 90.00
_cell_angle_beta 90.00
_cell_angle_gamma 120.00
_space_group_name_H-M_alt 'P 1'
_space_group_IT_number 1
loop_
_space_group_symop_operation_xyz
'x,y,z'
loop_
_atom_site_label
_atom_site_fract_x
_atom_site_fract_y
_atom_site_fract_z
Si1 0.667 0.333 0.000
Si2 0.333 0.667 0.500
C1 0.667 0.333 0.375
C2 0.333 0.667 0.875



4.
# Si3C4 (GGA-PBEsol, relaxed)
# M_tot: 0.00 μB per formula unit
# energy relative to the elements, uncorrected: 0.73 eV per atom
# distance to the lowest polymorph of the same formula: 0.0 kJ/mol of formula units
data_Si3C4
_chemical_formula_sum 'Si3 C4'
_cell_length_a 4.391
_cell_length_b 4.391
_cell_length_c 4.391
_cell_angle_alpha 90.00
_cell_angle_beta 90.00
_cell_angle_gamma 90.00
_space_group_name_H-M_alt 'P 1'
_space_group_IT_number 1
loop_
_space_group_symop_operation_xyz
'x,y,z'
loop_
_atom_site_label
_atom_site_fract_x
_atom_site_fract_y
_atom_site_fract_z
C1 0.728 0.272 0.272
C2 0.272 0.728 0.272
C3 0.728 0.728 0.728
C4 0.272 0.272 0.728
Si1 0.500 0.500 0.000
Si2 0.000 0.500 0.500
Si3 0.500 0.000 0.500



5.
# Si3SnC (GGA-PBEsol, relaxed)
# M_tot: 0.00 μB per formula unit
# energy relative to the elements, uncorrected: 0.78 eV per atom
data_Si3SnC
_chemical_formula_sum 'Si3 Sn1 C1'
_cell_length_a 4.199
_cell_length_b 4.199
_cell_length_c 4.199
_cell_angle_alpha 90.00
_cell_angle_beta 90.00
_cell_angle_gamma 90.00
_space_group_name_H-M_alt 'P 1'
_space_group_IT_number 1
loop_
_space_group_symop_operation_xyz
'x,y,z'
loop_
_atom_site_label
_atom_site_fract_x
_atom_site_fract_y
_atom_site_fract_z
Si1 0.500 0.000 0.000
Si2 0.000 0.000 0.500
Si3 0.000 0.500 0.000
Sn1 0.500 0.500 0.500
C1 0.000 0.000 0.000



6.
# Si2SnC (GGA-PBEsol, relaxed)
# M_tot: 0.00 μB per formula unit
# energy relative to the elements, uncorrected: 1.58 eV per atom
data_Si2SnC
_chemical_formula_sum 'Si2 Sn1 C1'
_cell_length_a 4.451
_cell_length_b 4.451
_cell_length_c 4.451
_cell_angle_alpha 60.00
_cell_angle_beta 60.00
_cell_angle_gamma 60.00
_space_group_name_H-M_alt 'P 1'
_space_group_IT_number 1
loop_
_space_group_symop_operation_xyz
'x,y,z'
loop_
_atom_site_label
_atom_site_fract_x
_atom_site_fract_y
_atom_site_fract_z
C1 0.000 0.000 0.000
Si1 0.250 0.250 0.250
Si2 0.750 0.750 0.750
Sn1 0.500 0.500 0.500



7.
# SrSi3C (GGA-PBEsol, relaxed)
# M_tot: 0.00 μB per formula unit
# energy relative to the elements, uncorrected: 0.70 eV per atom
data_SrSi3C
_chemical_formula_sum 'Sr1 Si3 C1'
_cell_length_a 4.356
_cell_length_b 4.356
_cell_length_c 4.356
_cell_angle_alpha 90.00
_cell_angle_beta 90.00
_cell_angle_gamma 90.00
_space_group_name_H-M_alt 'P 1'
_space_group_IT_number 1
loop_
_space_group_symop_operation_xyz
'x,y,z'
loop_
_atom_site_label
_atom_site_fract_x
_atom_site_fract_y
_atom_site_fract_z
Si1 0.000 0.000 0.500
Si2 0.000 0.500 0.000
Si3 0.500 0.000 0.000
Sr1 0.500 0.500 0.500
C1 0.000 0.000 0.000



8.
# Ta3SiC (GGA-PBEsol, relaxed)
# M_tot: 0.00 μB per formula unit
# energy relative to the elements, uncorrected: -0.04 eV per atom
data_Ta3SiC
_chemical_formula_sum 'Ta3 Si1 C1'
_cell_length_a 4.216
_cell_length_b 4.216
_cell_length_c 4.216
_cell_angle_alpha 90.00
_cell_angle_beta 90.00
_cell_angle_gamma 90.00
_space_group_name_H-M_alt 'P 1'
_space_group_IT_number 1
loop_
_space_group_symop_operation_xyz
'x,y,z'
loop_
_atom_site_label
_atom_site_fract_x
_atom_site_fract_y
_atom_site_fract_z
C1 0.000 0.000 0.000
Ta1 0.000 0.000 0.500
Ta2 0.000 0.500 0.000
Ta3 0.500 0.000 0.000
Si1 0.500 0.500 0.500



9.
# Ti2SiTcC (GGA-PBEsol, relaxed)
# M_tot: 0.00 μB per formula unit
# energy relative to the elements, uncorrected: 1.58 eV per atom
data_Ti2SiTcC
_chemical_formula_sum 'Ti2 Si1 Tc1 C1'
_cell_length_a 4.453
_cell_length_b 4.579
_cell_length_c 4.579
_cell_angle_alpha 90.00
_cell_angle_beta 90.00
_cell_angle_gamma 90.00
_space_group_name_H-M_alt 'P 1'
_space_group_IT_number 1
loop_
_space_group_symop_operation_xyz
'x,y,z'
loop_
_atom_site_label
_atom_site_fract_x
_atom_site_fract_y
_atom_site_fract_z
Ti1 0.000 0.000 0.500
Ti2 0.000 0.500 0.000
Tc1 0.000 0.000 0.000
Si1 0.500 0.000 0.000
C1 0.500 0.500 0.500



10.
# Si2TeC (GGA-PBEsol, relaxed)
# M_tot: 0.00 μB per formula unit
# energy relative to the elements, uncorrected: 1.64 eV per atom
data_Si2TeC
_chemical_formula_sum 'Si2 Te1 C1'
_cell_length_a 4.472
_cell_length_b 4.472
_cell_length_c 4.472
_cell_angle_alpha 60.00
_cell_angle_beta 60.00
_cell_angle_gamma 60.00
_space_group_name_H-M_alt 'P 1'
_space_group_IT_number 1
loop_
_space_group_symop_operation_xyz
'x,y,z'
loop_
_atom_site_label
_atom_site_fract_x
_atom_site_fract_y
_atom_site_fract_z
Si1 0.250 0.250 0.250
Si2 0.750 0.750 0.750
Te1 0.500 0.500 0.500
C1 0.000 0.000 0.000



11.
# SiTe2C2 (GGA-PBEsol, relaxed)
# M_tot: 0.00 μB per formula unit
# energy relative to the elements, uncorrected: 1.61 eV per atom
data_SiTe2C2
_chemical_formula_sum 'Si2 Te4 C4'
_cell_length_a 3.275
_cell_length_b 7.108
_cell_length_c 7.108
_cell_angle_alpha 90.00
_cell_angle_beta 90.00
_cell_angle_gamma 90.00
_space_group_name_H-M_alt 'P 1'
_space_group_IT_number 1
loop_
_space_group_symop_operation_xyz
'x,y,z'
loop_
_atom_site_label
_atom_site_fract_x
_atom_site_fract_y
_atom_site_fract_z
Te1 0.500 0.662 0.838
Te2 0.500 0.162 0.662
Te3 0.500 0.338 0.162
Te4 0.500 0.838 0.338
C1 0.000 0.201 0.299
C2 0.000 0.701 0.201
C3 0.000 0.799 0.701
C4 0.000 0.299 0.799
Si1 0.000 0.500 0.500
Si2 0.000 0.000 0.000



12.
# Ti3SiC2 (GGA-PBEsol, relaxed)
# M_tot: 0.00 μB per formula unit
# energy relative to the elements, uncorrected: -0.90 eV per atom
data_Ti3SiC2
_chemical_formula_sum 'Ti6 Si2 C4'
_cell_length_a 3.045
_cell_length_b 3.045
_cell_length_c 17.585
_cell_angle_alpha 90.00
_cell_angle_beta 90.00
_cell_angle_gamma 120.00
_space_group_name_H-M_alt 'P 1'
_space_group_IT_number 1
loop_
_space_group_symop_operation_xyz
'x,y,z'
loop_
_atom_site_label
_atom_site_fract_x
_atom_site_fract_y
_atom_site_fract_z
Ti1 0.667 0.333 0.135
Ti2 0.333 0.667 0.865
Ti3 0.000 0.000 0.000
Ti4 0.000 0.000 0.500
Ti5 0.333 0.667 0.635
Ti6 0.667 0.333 0.365
Si1 0.000 0.000 0.750
Si2 0.000 0.000 0.250
C1 0.667 0.333 0.572
C2 0.333 0.667 0.072
C3 0.333 0.667 0.428
C4 0.667 0.333 0.928



Look up the M_tot of the ninth one.
0.00 μB per formula unit



What is the M_tot in the fifth record?
0.00 μB per formula unit



Repeat the second record exactly.
# Si2C (GGA-PBEsol, relaxed)
# M_tot: 0.00 μB per formula unit
# energy relative to the elements, uncorrected: 0.62 eV per atom
# distance to the lowest polymorph of the same formula: 81.6 kJ/mol of formula units
data_Si2C
_chemical_formula_sum 'Si4 C2'
_cell_length_a 2.874
_cell_length_b 2.874
_cell_length_c 9.528
_cell_angle_alpha 90.00
_cell_angle_beta 90.00
_cell_angle_gamma 120.00
_space_group_name_H-M_alt 'P 1'
_space_group_IT_number 1
loop_
_space_group_symop_operation_xyz
'x,y,z'
loop_
_atom_site_label
_atom_site_fract_x
_atom_site_fract_y
_atom_site_fract_z
Si1 0.333 0.667 0.377
Si2 0.667 0.333 0.623
Si3 0.333 0.667 0.123
Si4 0.667 0.333 0.877
C1 0.000 0.000 0.000
C2 0.000 0.000 0.500